Computed, not measured: BaZnTeO after structural relaxation at the PBE-GGA level of DFT.

extended XYZ file:
```
16
Lattice="7.835 0.000 0.000 0.000 3.738 0.000 0.000 0.000 13.897" Properties=species:S:1:pos:R:3 pbc="T T T"
O 2.041 2.804 8.821
O 5.959 2.804 12.024
O 5.793 0.935 5.075
O 1.876 0.935 1.873
Zn 2.556 0.935 7.957
Zn 6.474 0.935 12.888
Zn 5.278 2.804 5.939
Zn 1.361 2.804 1.009
Te 6.474 2.804 1.319
Te 2.557 2.804 5.629
Te 5.278 0.935 8.268
Te 1.361 0.935 12.577
Ba 7.606 2.804 9.950
Ba 3.688 2.804 10.894
Ba 4.146 0.935 3.002
Ba 0.229 0.935 3.946
```

Output
crystal system	orthorhombic


Computed, not measured: BaZnTeO after structural relaxation at the PBE-GGA level of DFT.

extended XYZ file:
```
8
Lattice="4.222 0.000 0.000 0.000 4.222 0.000 0.000 0.000 13.110" Properties=species:S:1:pos:R:3 pbc="T T T"
O 1.056 3.167 6.555
O 3.167 1.056 6.555
Ba 3.167 3.167 7.875
Ba 1.056 1.056 5.235
Zn 1.056 1.056 11.961
Zn 3.167 3.167 1.149
Te 3.167 3.167 11.534
Te 1.056 1.056 1.576
```

Output
crystal system	tetragonal


no.,volume (Å³ per cell),electronic total energy (eV/f.u.)
1,407.0,-16.06
2,233.7,-15.96